w:
## SrHoCd (PBE-GGA)

Data for crystalline SrHoCd at its relaxed geometry.

For the density of states at the Fermi level, the calculation gives 8.3 states/eV/cell. The total magnetization comes out at 0.00 Bohr magnetons per cell. The value obtained for the calculated volume is 211 Å³/cell.

It has space group P4/nmm (No. 129, origin choice 2), with a = 5.041 Å, b = 5.041 Å, c = 8.293 Å, α = 90.00°, β = 90.00° and γ = 90.00°. The inequivalent atoms are Sr at (0.250, 0.250, 0.145), Ho at (0.250, 0.750, 0.500) and Cd at (0.250, 0.250, 0.728).



x:
## SrHoCd (PBE-GGA)

Data for crystalline SrHoCd at its relaxed geometry.

For the density of states at the Fermi level, the calculation gives 2.8 states/eV/cell. The total magnetization comes out at 0.00 Bohr magnetons per cell. The value obtained for the calculated volume is 102 Å³/cell.

It has space group P3m1 (No. 156), with a = 5.4357 Å, b = 5.4357 Å, c = 3.9937 Å, α = 90.00°, β = 90.00° and γ = 120.00°. The inequivalent atoms are Sr at (0.0000, 0.0000, 0.0000), Ho at (0.3333, 0.6667, 0.4879) and Cd at (0.6667, 0.3333, 0.5433).



y:
## SrHoCd (PBE-GGA)

Data for crystalline SrHoCd at its relaxed geometry.

For the density of states at the Fermi level, the calculation gives 6.7 states/eV/cell. The total magnetization comes out at 0.01 Bohr magnetons per cell. The value obtained for the calculated volume is 202 Å³/cell.

It has space group I4mm (No. 107), with a = 3.860 Å, b = 3.860 Å, c = 13.546 Å, α = 90.00°, β = 90.00° and γ = 90.00°. The inequivalent atoms are Sr at (0.000, 0.000, 0.000), Ho at (0.000, 0.000, 0.283) and Cd at (0.000, 0.000, 0.667).



Relative energies in meV/atom: w 0; x 164; y 26



w:
## Sr2HoCd (PBE-GGA)

Data for crystalline Sr2HoCd at its relaxed geometry.

For the density of states at the Fermi level, the calculation gives 3.9 states/eV/cell. The total magnetization comes out at 0.00 Bohr magnetons per cell. The value obtained for the calculated volume is 147 Å³/cell.

It has space group P4/mmm (No. 123), with a = 4.261 Å, b = 4.261 Å, c = 8.080 Å, α = 90.00°, β = 90.00° and γ = 90.00°. The inequivalent atoms are Sr at (0.000, 0.000, 0.232), Ho at (0.500, 0.500, 0.500) and Cd at (0.500, 0.500, 0.000).



x:
## Sr2HoCd (PBE-GGA)

Data for crystalline Sr2HoCd at its relaxed geometry.

For the density of states at the Fermi level, the calculation gives 15.8 states/eV/cell. The total magnetization comes out at 1.74 Bohr magnetons per cell. The value obtained for the calculated volume is 467 Å³/cell.

It has space group R-3m (No. 166, hexagonal axes), with a = 3.8068 Å, b = 3.8068 Å, c = 37.2016 Å, α = 90.00°, β = 90.00° and γ = 120.00°. The inequivalent atoms are Sr at (0.0000, 0.0000, 0.0955), Ho at (0.0000, 0.0000, 0.0000) and Cd at (0.0000, 0.0000, 0.5000).



Relative energies in meV/atom: w 0; x 215



w:
## Tb2Ho3Cd (PBE-GGA)

Data for crystalline Tb2Ho3Cd at its relaxed geometry.

For the density of states at the Fermi level, the calculation gives 8.0 states/eV/cell. The total magnetization comes out at 0.00 Bohr magnetons per cell. The value obtained for the calculated volume is 178 Å³/cell.

It has space group P4/mmm (No. 123), with a = 3.551 Å, b = 3.551 Å, c = 14.126 Å, α = 90.00°, β = 90.00° and γ = 90.00°. The inequivalent atoms are Tb at (0.000, 0.000, 0.177), Ho at (0.500, 0.500, 0.000), Ho at (0.500, 0.500, 0.354) and Cd at (0.000, 0.000, 0.500).



x:
## Tb2Ho3Cd (PBE-GGA)

Data for crystalline Tb2Ho3Cd at its relaxed geometry.

For the density of states at the Fermi level, the calculation gives 13.8 states/eV/cell. The total magnetization comes out at 0.00 Bohr magnetons per cell. The value obtained for the calculated volume is 376 Å³/cell.

It has space group Imm2 (No. 44), with a = 3.433 Å, b = 16.921 Å, c = 6.475 Å, α = 90.00°, β = 90.00° and γ = 90.00°. The inequivalent atoms are Tb at (0.000, 0.192, 0.000), Ho at (0.000, 0.133, 0.496), Ho at (0.000, 0.500, 0.690) and Cd at (0.000, 0.000, 0.798).



Relative energies in meV/atom: w 0; x 249



w:
## Tb3Ho4Cd (PBE-GGA)

Data for crystalline Tb3Ho4Cd at its relaxed geometry.

For the density of states at the Fermi level, the calculation gives 10.3 states/eV/cell. The total magnetization comes out at 0.00 Bohr magnetons per cell. The value obtained for the calculated volume is 241 Å³/cell.

It has space group P4/mmm (No. 123), with a = 3.547 Å, b = 3.547 Å, c = 19.145 Å, α = 90.00°, β = 90.00° and γ = 90.00°. The inequivalent atoms are Tb at (0.000, 0.000, 0.000), Tb at (0.000, 0.000, 0.262), Ho at (0.500, 0.500, 0.131), Ho at (0.500, 0.500, 0.392) and Cd at (0.000, 0.000, 0.500).



x:
## Tb3Ho4Cd (PBE-GGA)

Data for crystalline Tb3Ho4Cd at its relaxed geometry.

For the density of states at the Fermi level, the calculation gives 19.6 states/eV/cell. The total magnetization comes out at 0.00 Bohr magnetons per cell. The value obtained for the calculated volume is 480 Å³/cell.

It has space group Pmn2_1 (No. 31), with a = 11.154 Å, b = 6.995 Å, c = 6.156 Å, α = 90.00°, β = 90.00° and γ = 90.00°. The inequivalent atoms are Tb at (0.000, 0.128, 0.000), Tb at (0.238, 0.119, 0.349), Ho at (0.000, 0.381, 0.535), Ho at (0.000, 0.629, 0.009), Ho at (0.241, 0.627, 0.360) and Cd at (0.000, 0.874, 0.524).



Relative energies in meV/atom: w 0; x 18



w:
## Tb5Ho2Cd (PBE-GGA)

Data for crystalline Tb5Ho2Cd at its relaxed geometry.

For the density of states at the Fermi level, the calculation gives 20.1 states/eV/cell. The total magnetization comes out at 0.00 Bohr magnetons per cell. The value obtained for the calculated volume is 485 Å³/cell.

It has space group P-1 (No. 2), with a = 3.582 Å, b = 7.506 Å, c = 18.569 Å, α = 89.47°, β = 90.00° and γ = 76.20°. The inequivalent atoms are Tb at (0.025, 0.449, 0.099), Tb at (0.088, 0.325, 0.280), Tb at (0.212, 0.075, 0.665), Tb at (0.274, 0.950, 0.844), Tb at (0.468, 0.565, 0.413), Ho at (0.160, 0.181, 0.463), Ho at (0.345, 0.810, 0.022) and Cd at (0.408, 0.687, 0.217).



x:
## Tb5Ho2Cd (PBE-GGA)

Data for crystalline Tb5Ho2Cd at its relaxed geometry.

For the density of states at the Fermi level, the calculation gives 15.8 states/eV/cell. The total magnetization comes out at 0.00 Bohr magnetons per cell. The value obtained for the calculated volume is 488 Å³/cell.

It has space group I4mm (No. 107), with a = 8.118 Å, b = 8.118 Å, c = 7.408 Å, α = 90.00°, β = 90.00° and γ = 90.00°. The inequivalent atoms are Tb at (0.000, 0.000, 0.000), Tb at (0.225, 0.225, 0.313), Ho at (0.000, 0.500, 0.069) and Cd at (0.000, 0.000, 0.579).



Relative energies in meV/atom: w 0; x 36



w:
## TbHoCd (PBE-GGA)

Data for crystalline TbHoCd at its relaxed geometry.

For the density of states at the Fermi level, the calculation gives 3.6 states/eV/cell. The total magnetization comes out at 0.00 Bohr magnetons per cell. The value obtained for the calculated volume is 85 Å³/cell.

It has space group P3m1 (No. 156), with a = 5.2447 Å, b = 5.2447 Å, c = 3.5574 Å, α = 90.00°, β = 90.00° and γ = 120.00°. The inequivalent atoms are Tb at (0.0000, 0.0000, 0.0000), Ho at (0.3333, 0.6667, 0.4428) and Cd at (0.6667, 0.3333, 0.7019).



x:
## TbHoCd (PBE-GGA)

Data for crystalline TbHoCd at its relaxed geometry.

For the density of states at the Fermi level, the calculation gives 8.6 states/eV/cell. The total magnetization comes out at 0.00 Bohr magnetons per cell. The value obtained for the calculated volume is 168 Å³/cell.

It has space group Pmma (No. 51), with a = 6.147 Å, b = 3.361 Å, c = 8.142 Å, α = 90.00°, β = 90.00° and γ = 90.00°. The inequivalent atoms are Tb at (0.000, 0.000, 0.000), Ho at (0.250, 0.000, 0.385) and Cd at (0.250, 0.500, 0.712).



y:
## TbHoCd (PBE-GGA)

Data for crystalline TbHoCd at its relaxed geometry.

For the density of states at the Fermi level, the calculation gives 8.0 states/eV/cell. The total magnetization comes out at 1.57 Bohr magnetons per cell. The value obtained for the calculated volume is 169 Å³/cell.

It has space group I4mm (No. 107), with a = 3.604 Å, b = 3.604 Å, c = 13.008 Å, α = 90.00°, β = 90.00° and γ = 90.00°. The inequivalent atoms are Tb at (0.000, 0.000, 0.000), Ho at (0.000, 0.000, 0.313) and Cd at (0.000, 0.000, 0.659).



Relative energies in meV/atom: w 116; x 162; y 0



w:
## TbHoCd (PBE-GGA)

Data for crystalline TbHoCd at its relaxed geometry.

For the density of states at the Fermi level, the calculation gives 17.0 states/eV/cell. The total magnetization comes out at 0.61 Bohr magnetons per cell. The value obtained for the calculated volume is 342 Å³/cell.

It has space group Amm2 (No. 38), with a = 3.515 Å, b = 3.484 Å, c = 27.941 Å, α = 90.00°, β = 90.00° and γ = 90.00°. The inequivalent atoms are Tb at (0.000, 0.000, 0.000), Tb at (0.000, 0.000, 0.151), Ho at (0.000, 0.000, 0.303), Ho at (0.500, 0.000, 0.892), Cd at (0.500, 0.000, 0.575) and Cd at (0.500, 0.000, 0.728).



x:
## TbHoCd (PBE-GGA)

Data for crystalline TbHoCd at its relaxed geometry.

For the density of states at the Fermi level, the calculation gives 18.4 states/eV/cell. The total magnetization comes out at 0.00 Bohr magnetons per cell. The value obtained for the calculated volume is 384 Å³/cell.

It has space group F-43m (No. 216), with a = 7.269 Å, b = 7.269 Å, c = 7.269 Å, α = 90.00°, β = 90.00° and γ = 90.00°. The inequivalent atoms are Tb at (0.000, 0.000, 0.000), Ho at (0.000, 0.000, 0.500) and Cd at (0.250, 0.250, 0.250).



Relative energies in meV/atom: w 0; x 206



w:
## Tb4Ho3Cd (PBE-GGA)

Data for crystalline Tb4Ho3Cd at its relaxed geometry.

For the density of states at the Fermi level, the calculation gives 26.5 states/eV/cell. The total magnetization comes out at 0.00 Bohr magnetons per cell. The value obtained for the calculated volume is 535 Å³/cell.

It has space group Imm2 (No. 44), with a = 6.168 Å, b = 8.890 Å, c = 9.765 Å, α = 90.00°, β = 90.00° and γ = 90.00°. The inequivalent atoms are Tb at (0.000, 0.172, 0.000), Tb at (0.250, 0.000, 0.476), Ho at (0.000, 0.319, 0.317), Ho at (0.000, 0.500, 0.654) and Cd at (0.000, 0.000, 0.739).



x:
## Tb4Ho3Cd (PBE-GGA)

Data for crystalline Tb4Ho3Cd at its relaxed geometry.

For the density of states at the Fermi level, the calculation gives 10.6 states/eV/cell. The total magnetization comes out at 0.00 Bohr magnetons per cell. The value obtained for the calculated volume is 242 Å³/cell.

It has space group P4/mmm (No. 123), with a = 3.556 Å, b = 3.556 Å, c = 19.150 Å, α = 90.00°, β = 90.00° and γ = 90.00°. The inequivalent atoms are Tb at (0.000, 0.000, 0.110), Tb at (0.000, 0.000, 0.370), Ho at (0.500, 0.500, 0.239), Ho at (0.500, 0.500, 0.500) and Cd at (0.500, 0.500, 0.000).



Relative energies in meV/atom: w 440; x 0



w:
## TbHoCd4 (PBE-GGA)

Data for crystalline TbHoCd4 at its relaxed geometry.

For the density of states at the Fermi level, the calculation gives 9.4 states/eV/cell. The total magnetization comes out at 0.77 Bohr magnetons per cell. The value obtained for the calculated volume is 293 Å³/cell.

It has space group C2/m (No. 12), with a = 13.041 Å, b = 3.382 Å, c = 6.884 Å, α = 90.00°, β = 105.25° and γ = 90.00°. The inequivalent atoms are Tb at (0.000, 0.000, 0.000), Ho at (0.000, 0.000, 0.500), Cd at (0.173, 0.500, 0.338) and Cd at (0.174, 0.500, 0.835).



x:
## TbHoCd4 (PBE-GGA)

Data for crystalline TbHoCd4 at its relaxed geometry.

For the density of states at the Fermi level, the calculation gives 4.1 states/eV/cell. The total magnetization comes out at 0.00 Bohr magnetons per cell. The value obtained for the calculated volume is 147 Å³/cell.

It has space group P2/m (No. 10), with a = 3.421 Å, b = 8.628 Å, c = 4.976 Å, α = 90.00°, β = 90.08° and γ = 90.00°. The inequivalent atoms are Tb at (0.000, 0.000, 0.000), Ho at (0.000, 0.500, 0.500), Cd at (0.500, 0.168, 0.500) and Cd at (0.500, 0.334, 0.000).



y:
## TbHoCd4 (PBE-GGA)

Data for crystalline TbHoCd4 at its relaxed geometry.

For the density of states at the Fermi level, the calculation gives 20.9 states/eV/cell. The total magnetization comes out at 0.00 Bohr magnetons per cell. The value obtained for the calculated volume is 582 Å³/cell.

It has space group F-43m (No. 216), with a = 8.350 Å, b = 8.350 Å, c = 8.350 Å, α = 90.00°, β = 90.00° and γ = 90.00°. The inequivalent atoms are Tb at (0.000, 0.000, 0.000), Ho at (0.250, 0.250, 0.250) and Cd at (0.125, 0.125, 0.625).



Relative energies in meV/atom: w 87; x 0; y 65



w:
## Tb3Ho2Cd2 (PBE-GGA)

Data for crystalline Tb3Ho2Cd2 at its relaxed geometry.

For the density of states at the Fermi level, the calculation gives 21.6 states/eV/cell. The total magnetization comes out at 0.00 Bohr magnetons per cell. The value obtained for the calculated volume is 596 Å³/cell.

It has space group R-3m (No. 166, hexagonal axes), with a = 5.3753 Å, b = 5.3753 Å, c = 23.8220 Å, α = 90.00°, β = 90.00° and γ = 120.00°. The inequivalent atoms are Tb at (0.0000, 0.0000, 0.0000), Tb at (0.0000, 0.0000, 0.1569), Ho at (0.0000, 0.0000, 0.4261) and Cd at (0.0000, 0.0000, 0.2887).



x:
## Tb3Ho2Cd2 (PBE-GGA)

Data for crystalline Tb3Ho2Cd2 at its relaxed geometry.

For the density of states at the Fermi level, the calculation gives 14.9 states/eV/cell. The total magnetization comes out at 0.06 Bohr magnetons per cell. The value obtained for the calculated volume is 399 Å³/cell.

It has space group Cmmm (No. 65), with a = 5.068 Å, b = 22.731 Å, c = 3.465 Å, α = 90.00°, β = 90.00° and γ = 90.00°. The inequivalent atoms are Tb at (0.000, 0.000, 0.000), Tb at (0.000, 0.147, 0.000), Ho at (0.000, 0.290, 0.500) and Cd at (0.000, 0.431, 0.500).



Relative energies in meV/atom: w 0; x 104



w:
## Tb5Ho4Cd (PBE-GGA)

Data for crystalline Tb5Ho4Cd at its relaxed geometry.

For the density of states at the Fermi level, the calculation gives 11.6 states/eV/cell. The total magnetization comes out at 0.00 Bohr magnetons per cell. The value obtained for the calculated volume is 319 Å³/cell.

It has space group P1 (No. 1), with a = 5.741 Å, b = 7.984 Å, c = 7.986 Å, α = 82.67°, β = 69.03° and γ = 69.08°. The inequivalent atoms are Tb at (0.000, 0.000, 0.000), Tb at (0.000, 0.370, 0.630), Tb at (0.524, 0.369, 0.999), Tb at (0.628, 0.741, 0.000), Tb at (0.629, 0.370, 0.371), Ho at (0.006, 0.690, 0.321), Ho at (0.326, 0.048, 0.321), Ho at (0.326, 0.691, 0.679), Ho at (0.647, 0.048, 0.678) and Cd at (0.043, 0.372, 0.001).



x:
## Tb5Ho4Cd (PBE-GGA)

Data for crystalline Tb5Ho4Cd at its relaxed geometry.

For the density of states at the Fermi level, the calculation gives 19.8 states/eV/cell. The total magnetization comes out at 0.00 Bohr magnetons per cell. The value obtained for the calculated volume is 307 Å³/cell.

It has space group P4/mmm (No. 123), with a = 4.061 Å, b = 4.061 Å, c = 18.597 Å, α = 90.00°, β = 90.00° and γ = 90.00°. The inequivalent atoms are Tb at (0.000, 0.000, 0.000), Tb at (0.000, 0.000, 0.202), Tb at (0.000, 0.000, 0.408), Ho at (0.500, 0.500, 0.101), Ho at (0.500, 0.500, 0.301) and Cd at (0.500, 0.500, 0.500).



Relative energies in meV/atom: w 96; x 0